Record 1
ScTl3N (GGA-PBE, relaxed); density of states at the Fermi level = 5.59 states/eV/f.u.; polymorph energy (0 for the lowest one) = 0.0000 eV/atom; raw formation energy = 16.83 kcal/mol of atoms
1.0
-1.0183 -4.7400 0.9029
3.0848 0.0701 3.8470
-3.7104 1.3591 2.9506
Sc Tl N
1 3 1
Direct
0.5000 0.5000 0.5000
0.0000 0.5000 0.0000
0.0000 0.0000 0.5000
0.5000 0.0000 0.0000
0.0000 0.0000 0.0000

=====

Record 2
ScTlN3 (GGA-PBE, relaxed); density of states at the Fermi level = 3.42 states/eV/f.u.; raw formation energy = 36.88 kcal/mol of atoms
1.0
4.1437 0.0000 0.0000
0.0000 4.1437 0.0000
0.0000 0.0000 4.1437
Sc Tl N
1 1 3
Direct
0.5000 0.5000 0.5000
0.0000 0.0000 0.0000
0.0000 0.5000 0.0000
0.0000 0.0000 0.5000
0.5000 0.0000 0.0000

=====

Number 1: total moment 0.0 μB/f.u.. Number 2: total moment 0.0 μB/f.u..